1.
# BIr3Pb

A relaxed BIr3Pb crystal (PBE, Alexandria).

Unit cell a=5.0340 b=5.0340 c=5.0340 alpha=90.00 beta=90.00 gamma=90.00
With the nearest neighbours (Å) after each atom.
Space group Pm-3m (No. 221)
Asymmetric unit:
B  0.0000  0.0000  0.0000 [1 per cell]  12 Ir 3.56
Ir  0.0000  0.5000  0.5000 [3 per cell]  2 Pb 2.52
Pb  0.5000  0.5000  0.5000 [1 per cell]  6 Ir 2.52

Output
The total energy comes out at -21.148 eV for the cell shown. As for the mass density: 10.344 g/cm³. The relative energy among the computed polymorphs is 2.898 eV per atom. The calculation puts the formation energy at 3.1641 eV per atom.

2.
# ZnPb2I2

A relaxed ZnPb2I2 crystal (PBE, Alexandria).

Unit cell a=7.9844 b=7.9844 c=5.3584 alpha=90.00 beta=90.00 gamma=90.00
With the nearest neighbours (Å) after each atom.
Space group P4/mbm (No. 127)
Asymmetric unit:
Zn  0.0000  0.0000  0.0000 [2 per cell]  4 Pb 2.99
Pb  0.1633  0.3367  0.0000 [4 per cell]  2 Zn 2.99, 2 I 3.22
I  0.1781  0.6781  0.5000 [4 per cell]  2 Pb 3.22

Output
The total energy comes out at -24.582 eV for the cell shown. As for the mass density: 7.132 g/cm³.

Repeat the second record exactly.
# ZnPb2I2

A relaxed ZnPb2I2 crystal (PBE, Alexandria).

Unit cell a=7.9844 b=7.9844 c=5.3584 alpha=90.00 beta=90.00 gamma=90.00
With the nearest neighbours (Å) after each atom.
Space group P4/mbm (No. 127)
Asymmetric unit:
Zn  0.0000  0.0000  0.0000 [2 per cell]  4 Pb 2.99
Pb  0.1633  0.3367  0.0000 [4 per cell]  2 Zn 2.99, 2 I 3.22
I  0.1781  0.6781  0.5000 [4 per cell]  2 Pb 3.22

Output
The total energy comes out at -24.582 eV for the cell shown. As for the mass density: 7.132 g/cm³.

Please write out number 1 again, unchanged.
# BIr3Pb

A relaxed BIr3Pb crystal (PBE, Alexandria).

Unit cell a=5.0340 b=5.0340 c=5.0340 alpha=90.00 beta=90.00 gamma=90.00
With the nearest neighbours (Å) after each atom.
Space group Pm-3m (No. 221)
Asymmetric unit:
B  0.0000  0.0000  0.0000 [1 per cell]  12 Ir 3.56
Ir  0.0000  0.5000  0.5000 [3 per cell]  2 Pb 2.52
Pb  0.5000  0.5000  0.5000 [1 per cell]  6 Ir 2.52

Output
The total energy comes out at -21.148 eV for the cell shown. As for the mass density: 10.344 g/cm³. The relative energy among the computed polymorphs is 2.898 eV per atom. The calculation puts the formation energy at 3.1641 eV per atom.

Please write out number 2 again, unchanged.
# ZnPb2I2

A relaxed ZnPb2I2 crystal (PBE, Alexandria).

Unit cell a=7.9844 b=7.9844 c=5.3584 alpha=90.00 beta=90.00 gamma=90.00
With the nearest neighbours (Å) after each atom.
Space group P4/mbm (No. 127)
Asymmetric unit:
Zn  0.0000  0.0000  0.0000 [2 per cell]  4 Pb 2.99
Pb  0.1633  0.3367  0.0000 [4 per cell]  2 Zn 2.99, 2 I 3.22
I  0.1781  0.6781  0.5000 [4 per cell]  2 Pb 3.22

Output
The total energy comes out at -24.582 eV for the cell shown. As for the mass density: 7.132 g/cm³.

- Which value of mass density does entry 1 give?
  10.344 g/cm³